Entry 1:
NaMg2Al: optimized geometry, PBE.

Summary:
- Mass density: 1.738 g/cm3
- E_form: 128 meV per atom

Cell: 3.1186 3.1186 33.5422 Å, 90.00 90.00 120.00°
Space group R-3m (No. 166, hexagonal axes)
Asymmetric unit:
Na1 0.0000 0.0000 0.0000
Mg1 0.0000 0.0000 0.0943
Al1 0.0000 0.0000 0.5000

---

Entry 2:
NaMg2Al: optimized geometry, PBE.

Summary:
- Mass density: 1.758 g/cm3
- E_form: 53 meV per atom

Cell: 3.1187 3.1187 9.5759 Å, 90.00 90.00 90.00°
Space group P4/mmm (No. 123)
Asymmetric unit:
Na1 0.0000 0.0000 0.0000
Mg1 0.5000 0.5000 0.2853
Al1 0.0000 0.0000 0.5000

---

Entry 3:
NaMg16Al12: optimized geometry, PBE.

Summary:
- Mass density: 2.074 g/cm3
- E_form: -21 meV per atom
- Offset from the most stable computed form: 0.0016 eV per atom

Cell: 10.5614 10.5614 10.5614 Å, 90.00 90.00 90.00°
Space group I-43m (No. 217)
Asymmetric unit:
Na1 0.0000 0.0000 0.0000
Mg1 0.0412 0.3579 0.6421
Mg2 0.1738 0.1738 0.1738
Al1 0.0915 0.0915 0.7218

---

Entry 4:
NaMg14Al: optimized geometry, PBE.

Summary:
- Mass density: 1.767 g/cm3
- E_form: 30 meV per atom
- Offset from the most stable computed form: 0.0000 eV per atom

Cell: 10.4316 6.4083 10.9715 Å, 90.00 90.00 90.00°
Space group Amm2 (No. 38)
Asymmetric unit:
Na1 0.0000 0.0000 0.0000
Mg1 0.0000 0.2452 0.7501
Mg2 0.2416 0.0000 0.3336
Mg3 0.2494 0.2470 0.5823
Mg4 0.2562 0.0000 0.8312
Mg5 0.5000 0.0000 0.0009
Mg6 0.5000 0.0000 0.4995
Mg7 0.5000 0.2471 0.2500
Al1 0.0000 0.0000 0.5030

---

For the records above, the corresponding DFT total energy values read -23.22, -8.04, -144.71, -53.83 eV per cell.